Record 1
3
Lattice="3.9097 0.0000 0.0000 -1.9548 3.3859 0.0000 0.0000 0.0000 6.3836" Properties=species:S:1:pos:R:3 comment="TbDyP, relaxed, DFT PBE" space_group="P3m1 (156)" pbc="T T T"
P 1.9548 1.1286 2.1343
Tb 0.0000 0.0000 0.5373
Dy 0.0000 2.2573 3.7120

***

Record 2
4
Lattice="3.7930 0.0000 0.0000 1.8965 3.2849 0.0000 1.8965 1.0950 9.3995" Properties=species:S:1:pos:R:3 comment="Tb2DyP, relaxed, DFT PBE" space_group="R-3m (166)" pbc="T T T"
P 0.0000 0.0000 0.0000
Tb 1.8965 1.0950 1.6627
Tb 5.6896 3.2849 7.7367
Dy 3.7930 2.1899 4.6997

***

Values for E_tot, eV per formula unit, ordered as above
-17.5 -22.0
Values for E_form, eV/atom, ordered as above
-0.969 -0.675